(1)
Hf2ZrGe4 | PBE | optimized geometry

Cell lengths 4.991, 4.991, 13.555 Å; angles 90.00, 90.00, 90.00 degrees
Space group I4/mmm (No. 139)
Asymmetric unit:
Hf: 0.000 0.000 0.105 x4
Zr: 0.000 0.000 0.500 x2
Ge: 0.000 0.000 0.301 x4
Ge: 0.000 0.500 0.000 x4

DFT total energy, eV/atom: -6.569
Theoretical density, g/cm³: 7.3
Spin magnetization, Bohr magnetons per cell: 0.000
Formation enthalpy at 0 K, eV per formula unit: 0.94


(2)
Hf3ZrGe2 | PBE | optimized geometry

Cell lengths 16.295, 3.789, 8.539 Å; angles 90.00, 113.54, 90.00 degrees
Space group C2/m (No. 12)
Asymmetric unit:
Hf: 0.053 0.000 0.173 x4
Hf: 0.148 0.500 0.976 x4
Hf: 0.184 0.500 0.397 x4
Zr: 0.115 0.000 0.625 x4
Ge: 0.008 0.500 0.355 x4
Ge: 0.246 0.000 0.223 x4

DFT total energy, eV/atom: -8.444
Theoretical density, g/cm³: 10.6
Spin magnetization, Bohr magnetons per cell: 0.000
Formation enthalpy at 0 K, eV per formula unit: -3.02


(3)
Hf2Zr2Ge3 | PBE | optimized geometry

Cell lengths 12.299, 3.871, 6.421 Å; angles 90.00, 97.96, 90.00 degrees
Space group C2/m (No. 12)
Asymmetric unit:
Hf: 0.118 0.000 0.386 x4
Zr: 0.125 0.500 0.866 x4
Ge: 0.000 0.000 0.000 x2
Ge: 0.241 0.500 0.254 x4

DFT total energy, eV/atom: -7.681
Theoretical density, g/cm³: 8.3
Spin magnetization, Bohr magnetons per cell: 0.000
Formation enthalpy at 0 K, eV per formula unit: -2.91


(4)
HfZrGe2 | PBE | optimized geometry

Cell lengths 3.929, 5.405, 7.064 Å; angles 90.00, 90.00, 90.00 degrees
Space group Pmc2_1 (No. 26)
Asymmetric unit:
Hf: 0.000 0.116 0.000 x2
Zr: 0.500 0.382 0.353 x2
Ge: 0.000 0.406 0.628 x2
Ge: 0.500 0.095 0.726 x2

DFT total energy, eV/atom: -7.661
Theoretical density, g/cm³: 9.2
Spin magnetization, Bohr magnetons per cell: 0.000
Formation enthalpy at 0 K, eV per formula unit: -2.91
Energy above the lowest structure with this stoichiometry, meV per atom: 0


Which formula does entry 2 have? Hf3ZrGe2


Which value of formation enthalpy at 0 K does entry 1 give? 0.94 eV per formula unit